# 1
4
Lattice="1.9878 1.1477 6.6375 -1.9878 1.1477 6.6375 0.0000 -2.2954 6.6375" Properties=species:S:1:pos:R:3 comment="Sb2AsP (GGA-PBEsol, relaxed)" formation_energy_uncorrected_ev_per_atom=0.07 vol_a3_per_atom=22.7 de_polymorph_mev_per_atom=29 sg="R-3m (166)" pbc="T T T"
Sb 0.0000 0.0000 4.9149
Sb 0.0000 0.0000 14.9974
As 0.0000 0.0000 0.0000
P 0.0000 0.0000 9.9562


# 2
4
Lattice="1.9949 1.1518 6.9502 -1.9949 1.1518 6.9502 0.0000 -2.3036 6.9502" Properties=species:S:1:pos:R:3 comment="Sb2AsP (GGA-PBEsol, relaxed)" formation_energy_uncorrected_ev_per_atom=0.06 vol_a3_per_atom=24.0 de_polymorph_mev_per_atom=23 sg="R3m (160)" pbc="T T T"
Sb 0.0000 0.0000 0.0000
Sb 0.0000 0.0000 4.5555
As 0.0000 0.0000 15.3328
P 0.0000 0.0000 10.2035


# 3
4
Lattice="1.7530 -2.6339 0.0000 1.7530 2.6339 0.0000 0.0000 0.0000 9.3605" Properties=species:S:1:pos:R:3 comment="Sb2AsP (GGA-PBEsol, relaxed)" formation_energy_uncorrected_ev_per_atom=0.37 vol_a3_per_atom=21.6 de_polymorph_mev_per_atom=331 sg="Cmm2 (35)" pbc="T T T"
Sb 0.0000 0.0000 0.0000
Sb 1.7530 0.0000 2.7138
As 1.7530 0.0000 6.7527
P 0.0000 0.0000 5.0483


# 4
4
Lattice="1.8122 -2.6160 0.0000 1.8122 2.6160 0.0000 0.0000 0.0000 9.0047" Properties=species:S:1:pos:R:3 comment="Sb2AsP (GGA-PBEsol, relaxed)" formation_energy_uncorrected_ev_per_atom=0.41 vol_a3_per_atom=21.3 de_polymorph_mev_per_atom=375 sg="Cmmm (65)" pbc="T T T"
Sb 0.0000 0.0000 2.1089
Sb 0.0000 0.0000 6.8957
As 1.8122 0.0000 4.5023
P 1.8122 0.0000 0.0000


Repeat the fourth record exactly.
4
Lattice="1.8122 -2.6160 0.0000 1.8122 2.6160 0.0000 0.0000 0.0000 9.0047" Properties=species:S:1:pos:R:3 comment="Sb2AsP (GGA-PBEsol, relaxed)" formation_energy_uncorrected_ev_per_atom=0.41 vol_a3_per_atom=21.3 de_polymorph_mev_per_atom=375 sg="Cmmm (65)" pbc="T T T"
Sb 0.0000 0.0000 2.1089
Sb 0.0000 0.0000 6.8957
As 1.8122 0.0000 4.5023
P 1.8122 0.0000 0.0000


Q: Which formula does entry 4 have?
A: Sb2AsP


Repeat the second record exactly.
4
Lattice="1.9949 1.1518 6.9502 -1.9949 1.1518 6.9502 0.0000 -2.3036 6.9502" Properties=species:S:1:pos:R:3 comment="Sb2AsP (GGA-PBEsol, relaxed)" formation_energy_uncorrected_ev_per_atom=0.06 vol_a3_per_atom=24.0 de_polymorph_mev_per_atom=23 sg="R3m (160)" pbc="T T T"
Sb 0.0000 0.0000 0.0000
Sb 0.0000 0.0000 4.5555
As 0.0000 0.0000 15.3328
P 0.0000 0.0000 10.2035